Entry 1:
# Tb2Ga9Rh3

A geometry-optimized Tb2Ga9Rh3 structure (PBEsol, Alexandria).

Output
The calculation puts the formation energy from the elements at -0.77 eV/atom.

Lattice parameters (Å, degrees): 12.8694 7.4772 9.3868 90.00 90.00 90.00
With the nearest neighbours (Å) after each atom.
Space group Cmcm (No. 63)
Asymmetric unit:
Tb1 0.1639 0.1664 0.2500 x8  11 Ga 2.97-3.09
Ga1 0.0000 0.1276 0.7500 x4  2 Rh 2.53, 6 Ga 2.70-2.72
Ga2 0.0000 0.3333 0.0647 x8  3 Rh 2.57-2.61, 5 Ga 2.76-2.82
Ga3 0.1044 0.4431 0.7500 x8  2 Rh 2.54, 6 Ga 2.69-2.76
Ga4 0.1668 0.1681 0.5792 x16  3 Rh 2.54-2.60, 3 Ga 2.70-2.82
Rh1 0.0000 0.0000 0.0000 x4  8 Ga 2.53-2.60
Rh2 0.1716 0.5000 0.0000 x8  8 Ga 2.54-2.61

=====

Entry 2:
# CsCu3B

A geometry-optimized CsCu3B structure (PBEsol, Alexandria).

Output
The calculation puts the formation energy from the elements at 2.84 eV/atom.

Lattice parameters (Å, degrees): 5.1771 5.1771 5.1771 90.00 90.00 90.00
With the nearest neighbours (Å) after each atom.
Space group Pm-3m (No. 221)
Asymmetric unit:
Cs1 0.0000 0.0000 0.0000 x1  6 Cu 2.59
Cu1 0.0000 0.0000 0.5000 x3  2 Cs 2.59
B1 0.5000 0.5000 0.5000 x1  12 Cu 3.66